[1]
The following is a PBE calculation of a geometry-optimized Na2Al5Ga3 structure, from Alexandria via LeMat-Bulk.

Properties
- volume (Å³ per atom) = 20.6
- energy of formation from the pure elements (eV/atom) = -0.04
- crystal system = tetragonal

abc: 4.220 4.220 11.549
angles: 90.00 90.00 90.00
Sites, in units of the cell vectors:
Na 0.000 0.500 0.244
Na 0.500 0.000 0.756
Al 0.000 0.000 0.500
Al 0.000 0.500 0.643
Al 0.500 0.000 0.357
Al 0.500 0.500 0.000
Al 0.500 0.500 0.500
Ga 0.000 0.000 0.000
Ga 0.000 0.500 0.861
Ga 0.500 0.000 0.139

[2]
The following is a PBE calculation of a geometry-optimized ReNiAsBr2 structure, from Alexandria via LeMat-Bulk.

Properties
- volume (Å³ per atom) = 25.8
- energy above the most stable polymorph in this dataset (meV/atom) = 0
- crystal system = tetragonal
- formation energy (no corrections) (meV/atom) = 1087

abc: 5.218 5.218 4.737
angles: 90.00 90.00 90.00
Sites, in units of the cell vectors:
Re 0.000 0.000 0.000
Ni 0.500 0.500 0.500
As 0.000 0.000 0.500
Br 0.000 0.500 0.000
Br 0.500 0.000 0.000

[3]
The following is a PBE calculation of a geometry-optimized ZrPa2Pt3 structure, from Alexandria via LeMat-Bulk.

Properties
- volume (Å³ per atom) = 22.3
- energy of formation from the pure elements (eV/atom) = -0.75
- crystal system = orthorhombic

abc: 10.556 10.556 6.289
angles: 90.00 90.00 157.53
Sites, in units of the cell vectors:
Zr 0.175 0.825 0.750
Zr 0.825 0.175 0.250
Pa 0.348 0.652 0.750
Pa 0.465 0.535 0.250
Pa 0.535 0.465 0.750
Pa 0.652 0.348 0.250
Pt 0.070 0.930 0.035
Pt 0.070 0.930 0.465
Pt 0.244 0.756 0.250
Pt 0.756 0.244 0.750
Pt 0.930 0.070 0.535
Pt 0.930 0.070 0.965

[4]
The following is a PBE calculation of a geometry-optimized TbYNp2Se4 structure, from Alexandria via LeMat-Bulk.

Properties
- volume (Å³ per atom) = 24.3
- crystal system = monoclinic
- formation energy (no corrections) (meV/atom) = -1415

abc: 7.052 4.099 7.142
angles: 90.00 109.60 90.00
Sites, in units of the cell vectors:
Tb 0.000 0.000 0.000
Y 0.000 0.500 0.500
Np 0.500 0.000 0.500
Np 0.500 0.500 0.000
Se 0.248 0.000 0.750
Se 0.248 0.500 0.251
Se 0.752 0.000 0.250
Se 0.752 0.500 0.749

[5]
The following is a PBE calculation of a geometry-optimized CaFe2Se structure, from Alexandria via LeMat-Bulk.

Properties
- volume (Å³ per atom) = 18.5
- energy above the most stable polymorph in this dataset (meV/atom) = 434
- crystal system = tetragonal
- formation energy (no corrections) (meV/atom) = 217

abc: 3.527 3.527 5.963
angles: 90.00 90.00 90.00
Sites, in units of the cell vectors:
Ca 0.000 0.000 0.000
Fe 0.500 0.500 0.309
Fe 0.500 0.500 0.691
Se 0.000 0.000 0.500

[6]
The following is a PBE calculation of a geometry-optimized NiIrSe2 structure, from Alexandria via LeMat-Bulk.

Properties
- volume (Å³ per atom) = 15.8
- crystal system = orthorhombic
- formation energy (no corrections) (meV/atom) = 571

abc: 3.080 4.204 4.893
angles: 90.00 90.00 90.00
Sites, in units of the cell vectors:
Ni 0.000 0.000 0.000
Ir 0.500 0.000 0.500
Se 0.000 0.500 0.500
Se 0.500 0.500 0.000

[7]
The following is a PBE calculation of a geometry-optimized Cd3Ag4Au2 structure, from Alexandria via LeMat-Bulk.

Properties
- volume (Å³ per atom) = 20.2
- energy above the most stable polymorph in this dataset (meV/atom) = 86
- energy of formation from the pure elements (eV/atom) = -0.01
- crystal system = monoclinic

abc: 9.532 9.532 4.611
angles: 94.85 94.85 118.20
Sites, in units of the cell vectors:
Cd 0.173 0.524 0.367
Cd 0.205 0.795 0.750
Cd 0.476 0.827 0.133
Cd 0.524 0.173 0.867
Cd 0.795 0.205 0.250
Cd 0.827 0.476 0.633
Ag 0.105 0.194 0.284
Ag 0.194 0.105 0.784
Ag 0.338 0.456 0.935
Ag 0.456 0.338 0.435
Ag 0.544 0.662 0.565
Ag 0.662 0.544 0.065
Ag 0.806 0.895 0.216
Ag 0.895 0.806 0.716
Au 0.002 0.304 0.792
Au 0.304 0.002 0.292
Au 0.696 0.998 0.708
Au 0.998 0.696 0.208

[8]
The following is a PBE calculation of a geometry-optimized Ac3La4NdTe8 structure, from Alexandria via LeMat-Bulk.

Properties
- volume (Å³ per atom) = 35.1
- crystal system = trigonal
- formation energy (no corrections) (meV/atom) = -1529

abc: 9.264 9.264 9.264
angles: 60.00 60.00 60.00
Sites, in units of the cell vectors:
Ac 0.000 0.500 0.500
Ac 0.500 0.000 0.500
Ac 0.500 0.500 0.000
La 0.000 0.000 0.500
La 0.000 0.500 0.000
La 0.500 0.000 0.000
La 0.500 0.500 0.500
Nd 0.000 0.000 0.000
Te 0.242 0.752 0.752
Te 0.247 0.247 0.247
Te 0.248 0.248 0.758
Te 0.248 0.758 0.248
Te 0.752 0.242 0.752
Te 0.752 0.752 0.242
Te 0.753 0.753 0.753
Te 0.758 0.248 0.248

[9]
The following is a PBE calculation of a geometry-optimized Cs2AcTe2O7 structure, from Alexandria via LeMat-Bulk.

Properties
- volume (Å³ per atom) = 19.0
- crystal system = monoclinic
- formation energy (no corrections) (meV/atom) = -1681

abc: 4.413 4.413 11.984
angles: 98.36 98.36 90.10
Sites, in units of the cell vectors:
Cs 0.202 0.202 0.382
Cs 0.798 0.798 0.618
Ac 0.000 0.000 0.000
Te 0.390 0.390 0.816
Te 0.610 0.610 0.184
O 0.033 0.575 0.152
O 0.299 0.299 0.651
O 0.425 0.967 0.848
O 0.500 0.500 0.000
O 0.575 0.033 0.152
O 0.701 0.701 0.349
O 0.967 0.425 0.848

[10]
The following is a PBE calculation of a geometry-optimized Th6TlOs structure, from Alexandria via LeMat-Bulk.

Properties
- volume (Å³ per atom) = 30.4
- energy of formation from the pure elements (eV/atom) = 0.02
- crystal system = triclinic

abc: 6.180 6.231 6.801
angles: 103.38 101.96 99.36
Sites, in units of the cell vectors:
Th 0.102 0.196 0.228
Th 0.269 0.790 0.436
Th 0.321 0.404 0.769
Th 0.679 0.596 0.231
Th 0.731 0.210 0.564
Th 0.898 0.804 0.772
Tl 0.500 0.000 0.000
Os 0.000 0.500 0.000

[11]
The following is a PBE calculation of a geometry-optimized Nd5Ho4Tm2 structure, from Alexandria via LeMat-Bulk.

Properties
- volume (Å³ per atom) = 32.9
- energy above the most stable polymorph in this dataset (meV/atom) = 0
- energy of formation from the pure elements (eV/atom) = 0.08
- crystal system = monoclinic

abc: 8.987 8.987 11.618
angles: 93.89 93.89 22.76
Sites, in units of the cell vectors:
Nd 0.000 0.000 0.000
Nd 0.323 0.323 0.929
Nd 0.402 0.402 0.464
Nd 0.598 0.598 0.536
Nd 0.677 0.677 0.071
Ho 0.141 0.141 0.794
Ho 0.464 0.464 0.739
Ho 0.536 0.536 0.261
Ho 0.859 0.859 0.206
Tm 0.215 0.215 0.352
Tm 0.785 0.785 0.648

[12]
The following is a PBE calculation of a geometry-optimized NaNi structure, from Alexandria via LeMat-Bulk.

Properties
- volume (Å³ per atom) = 38.6
- energy of formation from the pure elements (eV/atom) = 0.79
- crystal system = cubic

abc: 7.375 7.375 7.375
angles: 109.47 109.47 109.47
Sites, in units of the cell vectors:
Na 0.000 0.000 0.581
Na 0.000 0.581 0.000
Na 0.419 0.419 0.419
Na 0.581 0.000 0.000
Ni 0.000 0.000 0.190
Ni 0.000 0.190 0.000
Ni 0.190 0.000 0.000
Ni 0.810 0.810 0.810

[13]
The following is a PBE calculation of a geometry-optimized YBi2Pt2 structure, from Alexandria via LeMat-Bulk.

Properties
- volume (Å³ per atom) = 23.7
- energy of formation from the pure elements (eV/atom) = -0.53
- crystal system = tetragonal

abc: 7.477 7.477 4.237
angles: 90.00 90.00 90.00
Sites, in units of the cell vectors:
Y 0.000 0.000 0.000
Y 0.500 0.500 0.000
Bi 0.178 0.322 0.500
Bi 0.322 0.822 0.500
Bi 0.678 0.178 0.500
Bi 0.822 0.678 0.500
Pt 0.129 0.629 0.000
Pt 0.371 0.129 0.000
Pt 0.629 0.871 0.000
Pt 0.871 0.371 0.000

[14]
The following is a PBE calculation of a geometry-optimized FeSnRu2C structure, from Alexandria via LeMat-Bulk.

Properties
- volume (Å³ per atom) = 17.7
- energy above the most stable polymorph in this dataset (meV/atom) = 2136
- energy of formation from the pure elements (eV/atom) = 2.20
- crystal system = tetragonal

abc: 4.365 4.365 4.634
angles: 90.00 90.00 90.00
Sites, in units of the cell vectors:
Fe 0.000 0.000 0.000
Sn 0.000 0.000 0.500
Ru 0.000 0.500 0.000
Ru 0.500 0.000 0.000
C 0.500 0.500 0.500

[15]
The following is a PBE calculation of a geometry-optimized Ag5Cl7 structure, from Alexandria via LeMat-Bulk.

Properties
- volume (Å³ per atom) = 25.5
- crystal system = triclinic
- formation energy (no corrections) (meV/atom) = -401

abc: 3.793 6.703 12.452
angles: 83.44 86.97 76.41
Sites, in units of the cell vectors:
Ag 0.000 0.000 0.000
Ag 0.291 0.448 0.155
Ag 0.376 0.247 0.559
Ag 0.624 0.753 0.441
Ag 0.709 0.552 0.845
Cl 0.000 0.000 0.500
Cl 0.109 0.828 0.829
Cl 0.230 0.546 0.365
Cl 0.306 0.287 0.911
Cl 0.694 0.713 0.089
Cl 0.770 0.454 0.635
Cl 0.891 0.172 0.171

[16]
The following is a PBE calculation of a geometry-optimized LuBiO3 structure, from Alexandria via LeMat-Bulk.

Properties
- volume (Å³ per atom) = 15.2
- crystal system = trigonal
- formation energy (no corrections) (meV/atom) = -2407

abc: 6.080 6.080 6.080
angles: 58.09 58.09 58.09
Sites, in units of the cell vectors:
Lu 0.144 0.144 0.144
Lu 0.856 0.856 0.856
Bi 0.358 0.358 0.358
Bi 0.642 0.642 0.642
O 0.012 0.453 0.788
O 0.212 0.988 0.547
O 0.453 0.788 0.012
O 0.547 0.212 0.988
O 0.788 0.012 0.453
O 0.988 0.547 0.212

[17]
The following is a PBE calculation of a geometry-optimized CdB structure, from Alexandria via LeMat-Bulk.

Properties
- volume (Å³ per atom) = 20.8
- energy above the most stable polymorph in this dataset (meV/atom) = 423
- energy of formation from the pure elements (eV/atom) = 0.79
- crystal system = orthorhombic

abc: 8.302 7.124 5.557
angles: 80.77 57.88 41.35
Sites, in units of the cell vectors:
Cd 0.055 0.055 0.695
Cd 0.305 0.305 0.945
Cd 0.695 0.695 0.055
Cd 0.945 0.945 0.305
B 0.048 0.202 0.048
B 0.202 0.048 0.202
B 0.798 0.952 0.798
B 0.952 0.798 0.952

[18]
The following is a PBE calculation of a geometry-optimized BiAsO5 structure, from Alexandria via LeMat-Bulk.

Properties
- volume (Å³ per atom) = 16.4
- crystal system = orthorhombic
- formation energy (no corrections) (meV/atom) = -778

abc: 8.072 6.756 8.417
angles: 90.00 90.00 90.00
Sites, in units of the cell vectors:
Bi 0.000 0.000 0.000
Bi 0.000 0.500 0.000
Bi 0.500 0.000 0.500
Bi 0.500 0.500 0.500
As 0.118 0.250 0.338
As 0.382 0.750 0.838
As 0.618 0.250 0.162
As 0.882 0.750 0.662
O 0.027 0.750 0.525
O 0.116 0.250 0.899
O 0.135 0.037 0.220
O 0.135 0.463 0.220
O 0.173 0.750 0.922
O 0.327 0.250 0.422
O 0.365 0.537 0.720
O 0.365 0.963 0.720
O 0.384 0.750 0.399
O 0.473 0.250 0.025
O 0.527 0.750 0.975
O 0.616 0.250 0.601
O 0.635 0.037 0.280
O 0.635 0.463 0.280
O 0.673 0.750 0.578
O 0.827 0.250 0.078
O 0.865 0.537 0.780
O 0.865 0.963 0.780
O 0.884 0.750 0.101
O 0.973 0.250 0.475

[19]
The following is a PBE calculation of a geometry-optimized Th8Ge4Sb3 structure, from Alexandria via LeMat-Bulk.

Properties
- volume (Å³ per atom) = 31.5
- crystal system = monoclinic
- formation energy (no corrections) (meV/atom) = -684

abc: 8.740 8.740 8.719
angles: 119.82 119.82 90.10
Sites, in units of the cell vectors:
Th 0.234 0.234 0.985
Th 0.240 0.240 0.486
Th 0.243 0.757 0.000
Th 0.244 0.756 0.500
Th 0.756 0.244 0.500
Th 0.757 0.243 0.000
Th 0.760 0.760 0.514
Th 0.766 0.766 0.015
Ge 0.000 0.000 0.000
Ge 0.000 0.000 0.500
Ge 0.000 0.500 0.500
Ge 0.500 0.000 0.500
Sb 0.000 0.500 0.000
Sb 0.500 0.000 0.000
Sb 0.500 0.500 0.000

[20]
The following is a PBE calculation of a geometry-optimized Re2SbSe structure, from Alexandria via LeMat-Bulk.

Properties
- volume (Å³ per atom) = 17.5
- energy above the most stable polymorph in this dataset (meV/atom) = 762
- crystal system = orthorhombic
- formation energy (no corrections) (meV/atom) = 945

abc: 5.460 5.460 5.460
angles: 147.68 125.66 64.66
Sites, in units of the cell vectors:
Re 0.219 0.219 0.000
Re 0.781 0.781 0.000
Sb 0.500 0.000 0.500
Se 0.000 0.500 0.500